Density functional theory data (PBE) for a relaxed structure of ScZnFeTc.

Computed properties:
crystal system	cubic
ΔE_f	-0.029	eV per atom

Structure (POSCAR):
```
ScZnFeTc
1.0
4.397 0.000 0.000
2.199 3.808 0.000
2.199 1.269 3.590
Sc Zn Tc Fe
1 1 1 1
direct
0.000 0.000 0.000
0.750 0.750 0.750
0.500 0.500 0.500
0.250 0.250 0.250
```

Density functional theory data (PBE) for a relaxed structure of Sc2Fe2Te.

Computed properties:
crystal system	tetragonal
formation energy without anion corrections	-0.29	eV/atom

Structure (POSCAR):
```
Sc2Fe2Te
1.0
-1.178 -0.934 6.815
5.687 -4.021 0.431
2.064 3.002 0.768
Sc Te Fe
4 2 4
direct
0.173 0.673 0.500
0.673 0.827 0.500
0.827 0.327 0.500
0.327 0.173 0.500
0.000 0.000 0.000
0.500 0.500 0.000
0.389 0.889 0.000
0.889 0.611 0.000
0.611 0.111 0.000
0.111 0.389 0.000
```

Density functional theory data (PBE) for a relaxed structure of Sc3FeTe.

Computed properties:
crystal system	cubic
energy above the lowest structure with this stoichiometry	0.00	eV/f.u.
formation energy without anion corrections	-0.24	eV/atom

Structure (POSCAR):
```
Sc3FeTe
1.0
4.822 0.000 0.000
0.000 4.822 0.000
0.000 0.000 4.822
Sc Te Fe
3 1 1
direct
0.000 0.500 0.000
0.000 0.000 0.500
0.500 0.000 0.000
0.500 0.500 0.500
0.000 0.000 0.000
```

Density functional theory data (PBE) for a relaxed structure of Sc6Fe2Te.

Computed properties:
crystal system	orthorhombic
formation energy without anion corrections	-0.33	eV/atom

Structure (POSCAR):
```
Sc6Fe2Te
1.0
-7.497 0.183 -2.264
0.709 -4.170 6.593
2.785 7.140 1.622
Sc Fe Te
12 4 2
direct
0.472 0.284 0.188
0.528 0.716 0.812
0.904 0.716 0.188
0.096 0.284 0.812
0.220 0.764 0.984
0.780 0.236 0.016
0.780 0.764 0.544
0.220 0.236 0.456
0.305 0.993 0.688
0.695 0.007 0.312
0.695 0.383 0.688
0.305 0.617 0.312
0.500 0.387 0.887
0.500 0.613 0.113
0.374 0.000 0.374
0.626 0.000 0.626
0.000 0.500 0.500
0.000 0.000 0.000
```

Density functional theory data (PBE) for a relaxed structure of ScFeTe4.

Computed properties:
crystal system	cubic
formation energy without anion corrections	0.70	eV/atom

Structure (POSCAR):
```
ScFeTe4
1.0
-3.899 -2.403 4.217
-5.987 1.706 0.032
-4.397 -4.037 -1.770
Sc Fe Te
1 1 4
direct
0.000 0.000 0.000
0.750 0.750 0.750
0.874 0.375 0.375
0.375 0.375 0.874
0.375 0.874 0.375
0.375 0.375 0.375
```

Density functional theory data (PBE) for a relaxed structure of ScFeTe3.

Computed properties:
crystal system	cubic
formation energy without anion corrections	0.38	eV/atom

Structure (POSCAR):
```
ScFeTe3
1.0
-0.919 5.374 -0.726
-0.234 -0.775 -5.440
-5.417 -0.879 0.358
Sc Te Fe
1 3 1
direct
0.000 0.000 0.000
0.000 0.500 0.000
0.000 0.000 0.500
0.500 0.000 0.000
0.500 0.500 0.500
```

Density functional theory data (PBE) for a relaxed structure of Sc6FeTe2.

Computed properties:
crystal system	hexagonal
formation energy without anion corrections	-0.63	eV/atom

Structure (POSCAR):
```
Sc6FeTe2
1.0
-0.561 -0.477 7.687
-3.735 -5.073 -4.466
3.021 -2.293 0.078
Sc Fe Te
6 1 2
direct
0.233 0.000 0.500
0.767 0.767 0.500
0.000 0.233 0.500
0.614 0.000 0.000
0.386 0.386 0.000
0.000 0.614 0.000
0.000 0.000 0.000
0.333 0.667 0.500
0.667 0.333 0.500
```

Density functional theory data (PBE) for a relaxed structure of ThScFe6.

Computed properties:
crystal system	trigonal
ΔE_f	-0.136	eV per atom

Structure (POSCAR):
```
ThScFe6
1.0
-1.227 3.381 -3.522
-3.031 -1.310 -3.799
-11.519 3.765 11.226
Th Sc Fe
3 3 18
direct
0.571 0.571 0.714
0.001 0.001 0.004
0.497 0.497 0.492
0.427 0.427 0.282
0.931 0.931 0.792
0.072 0.072 0.216
0.455 0.957 0.369
0.959 0.459 0.877
0.957 0.957 0.369
0.459 0.459 0.877
0.957 0.455 0.369
0.459 0.959 0.877
0.045 0.542 0.130
0.542 0.041 0.623
0.542 0.542 0.130
0.041 0.041 0.623
0.542 0.045 0.130
0.041 0.542 0.623
0.335 0.335 0.004
0.832 0.832 0.497
0.165 0.165 0.495
0.667 0.667 0.002
0.750 0.750 0.249
0.251 0.251 0.753
```

Density functional theory data (PBE) for a relaxed structure of Th2Sc3Fe2.

Computed properties:
crystal system	triclinic
energy above the lowest structure with this stoichiometry	0.97	eV/f.u.
ΔE_f	0.053	eV per atom

Structure (POSCAR):
```
Th2Sc3Fe2
1.0
-1.326 3.048 1.473
0.880 -3.379 7.793
4.531 2.323 3.733
Th Sc Fe
2 3 2
direct
0.393 0.588 0.208
0.607 0.412 0.792
0.000 0.000 0.000
0.783 0.181 0.432
0.217 0.819 0.568
0.579 0.864 0.842
0.421 0.136 0.158
```

Density functional theory data (PBE) for a relaxed structure of Th2ScFe9.

Computed properties:
crystal system	trigonal
ΔE_f	-0.058	eV per atom

Structure (POSCAR):
```
Th2ScFe9
1.0
-1.576 -2.215 4.269
-4.455 -2.400 0.110
1.717 -8.561 -0.808
Th Sc Fe
2 1 9
direct
0.861 0.861 0.418
0.139 0.139 0.582
0.000 0.000 0.000
0.667 0.667 0.998
0.333 0.333 0.002
0.500 0.500 0.500
0.421 0.421 0.238
0.919 0.421 0.238
0.421 0.919 0.238
0.579 0.579 0.762
0.579 0.081 0.762
0.081 0.579 0.762
```

Density functional theory data (PBE) for a relaxed structure of Th2Sc3Fe2.

Computed properties:
crystal system	monoclinic
energy above the lowest structure with this stoichiometry	0.00	eV/f.u.
ΔE_f	-0.086	eV per atom

Structure (POSCAR):
```
Th2Sc3Fe2
1.0
3.592 0.000 0.000
-1.796 5.665 -0.250
0.000 -2.930 7.816
Th Sc Fe
2 3 2
direct
0.841 0.682 0.208
0.159 0.318 0.792
0.500 0.000 0.000
0.626 0.251 0.414
0.374 0.749 0.586
0.813 0.625 0.777
0.187 0.375 0.223
```

Density functional theory data (PBE) for a relaxed structure of ThScFe2.

Computed properties:
crystal system	tetragonal
ΔE_f	0.033	eV per atom

Structure (POSCAR):
```
ThScFe2
1.0
-1.998 -0.936 -2.517
3.734 -1.134 -2.542
-0.142 -4.325 1.721
Sc Fe Th
1 2 1
direct
0.500 0.000 0.000
0.000 0.000 0.500
0.000 0.500 0.000
0.500 0.500 0.500
```

In order of appearance, total energy = -6.64, -6.84, -6.36, -6.78, -3.86, -4.47, -6.49, -8.20, -7.20, -8.17, -7.34, -7.64 eV/atom.
In order of appearance, N(E_F) = 4.22, 6.01, 6.21, 10.04, 6.77, 13.71, 9.65, 22.25, 5.78, 10.85, 7.54, 6.05 states/eV/cell.
In order of appearance, magnetic moment = 2.109, 3.528, 0.000, 0.000, 2.664, 3.655, 0.655, 11.221, 0.000, 17.533, 0.000, 1.796 μB/f.u..